Density functional theory data (GGA-PBE) for ScCoP2 after structural relaxation.

Values from the calculation:
Theoretical density (g/cm3): 4.2
Formation enthalpy at 0 K (meV per atom): -295
Total moment (μB/atom): 0.022
E_tot (eV/atom): -6.359
Calculated volume (A^3/atom): 16.460
E above lowest polymorph (eV per formula unit): 2.18

a b c (Å): 2.896 2.896 7.850
angles (deg): 90.00 90.00 90.00
Last column: magnetic moment on the atom in μB.
Element x y z (fractional)
1 P 0.500 0.500 0.295  0.00
2 P 0.000 0.000 0.905  0.00
3 Sc 0.000 0.000 0.521  -0.01
4 Co 0.500 0.500 0.778  0.11

=====

Density functional theory data (GGA-PBE) for ScCoP2 after structural relaxation.

Values from the calculation:
Theoretical density (g/cm3): 4.7
Formation enthalpy at 0 K (meV per atom): -497
Total moment (μB/atom): 0.000
E_tot (eV/atom): -6.562
Calculated volume (A^3/atom): 14.758
E above lowest polymorph (eV per formula unit): 1.37

a b c (Å): 3.349 3.349 5.264
angles (deg): 90.00 90.00 90.00
Element x y z (fractional)
1 P 0.500 0.500 0.266
2 P 0.000 0.000 0.946
3 Co 0.500 0.500 0.834
4 Sc 0.000 0.000 0.454

=====

Density functional theory data (GGA-PBE) for Sc2CoP after structural relaxation.

Values from the calculation:
Theoretical density (g/cm3): 4.5
Formation enthalpy at 0 K (meV per atom): -406
Total moment (μB/atom): 0.000
E_tot (eV/atom): -6.700
Calculated volume (A^3/atom): 16.774

a b c (Å): 3.027 3.027 7.321
angles (deg): 90.00 90.00 90.00
Element x y z (fractional)
1 Sc 0.000 0.000 0.942
2 Sc 0.500 0.500 0.306
3 Co 0.000 0.000 0.563
4 P 0.500 0.500 0.689

=====

Density functional theory data (GGA-PBE) for ScCoP2 after structural relaxation.

Values from the calculation:
Theoretical density (g/cm3): 4.8
Formation enthalpy at 0 K (meV per atom): -111
Total moment (μB/atom): 0.280
E_tot (eV/atom): -6.175
Calculated volume (A^3/atom): 14.419
E above lowest polymorph (eV per formula unit): 2.91

a b c (Å): 4.337 4.337 4.337
angles (deg): 60.00 60.00 60.00
Last column: magnetic moment on the atom in μB.
Element x y z (fractional)
1 Co 0.500 0.500 0.500  1.04
2 P 0.000 0.000 0.000  0.08
3 P 0.250 0.250 0.250  0.02
4 Sc 0.750 0.750 0.750  -0.05

=====

Density functional theory data (GGA-PBE) for ScCoP2 after structural relaxation.

Values from the calculation:
Theoretical density (g/cm3): 4.7
Formation enthalpy at 0 K (meV per atom): -535
Total moment (μB/atom): 0.000
E_tot (eV/atom): -6.599
Calculated volume (A^3/atom): 14.660
E above lowest polymorph (eV per formula unit): 1.22

a b c (Å): 4.456 4.456 4.476
angles (deg): 75.94 75.94 43.12
Element x y z (fractional)
1 Sc 0.505 0.505 0.465
2 Co 0.727 0.727 0.876
3 P 0.261 0.261 0.194
4 P 0.007 0.007 0.964

=====

Density functional theory data (GGA-PBE) for Sc2CoP after structural relaxation.

Values from the calculation:
Theoretical density (g/cm3): 4.1
Formation enthalpy at 0 K (meV per atom): -559
Total moment (μB/atom): 0.062
E_tot (eV/atom): -6.854
Calculated volume (A^3/atom): 18.179

a b c (Å): 6.641 6.641 6.641
angles (deg): 31.92 31.92 31.92
Last column: magnetic moment on the atom in μB.
Element x y z (fractional)
1 Sc 0.248 0.248 0.248  -0.08
2 Sc 0.752 0.752 0.752  -0.08
3 Co 0.000 0.000 0.000  0.49
4 P 0.500 0.500 0.500  0.01

=====

Density functional theory data (GGA-PBE) for ScCo2P after structural relaxation.

Values from the calculation:
Theoretical density (g/cm3): 5.6
Formation enthalpy at 0 K (meV per atom): -240
Total moment (μB/atom): 0.404
E_tot (eV/atom): -6.728
Calculated volume (A^3/atom): 14.457

a b c (Å): 3.747 3.747 8.239
angles (deg): 90.00 90.00 90.00
Last column: magnetic moment on the atom in μB.
Element x y z (fractional)
1 Sc 0.500 0.000 0.742  -0.12
2 Sc 0.000 0.500 0.258  -0.12
3 Co 0.500 0.000 0.136  0.14
4 Co 0.000 0.500 0.559  1.68
5 Co 0.000 0.500 0.864  0.14
6 Co 0.500 0.000 0.441  1.68
7 P 0.500 0.500 0.000  0.00
8 P 0.000 0.000 0.000  0.00

=====

Density functional theory data (GGA-PBE) for Sc2CoP after structural relaxation.

Values from the calculation:
Theoretical density (g/cm3): 4.2
Formation enthalpy at 0 K (meV per atom): -303
Total moment (μB/atom): 0.000
E_tot (eV/atom): -6.598
Calculated volume (A^3/atom): 17.576

a b c (Å): 6.826 6.826 5.692
angles (deg): 53.16 53.16 90.00
Element x y z (fractional)
1 Sc 0.641 0.125 0.250
2 Sc 0.109 0.625 0.250
3 Sc 0.375 0.359 0.750
4 Sc 0.875 0.891 0.750
5 P 0.250 0.750 0.500
6 P 0.500 0.500 0.000
7 Co 0.750 0.250 0.500
8 Co 0.000 0.000 0.000